Entry w
VASP calculation (GGA-PBE) on a relaxed structure of LaNbAu3.

Its space-group type is No. 221.

abc: 5.328 5.328 5.328
angles: 90.00 90.00 90.00
Positions (direct):
Au 0.500 0.000 0.000
Au 0.000 0.500 0.000
Au 0.000 0.000 0.500
Nb 0.500 0.500 0.500
La 0.000 0.000 0.000

***

Entry x
VASP calculation (GGA-PBE) on a relaxed structure of LaNbAu3.

Its space-group type is No. 221.

abc: 5.127 5.127 5.127
angles: 90.00 90.00 90.00
Positions (direct):
Au 0.000 0.500 0.000
Au 0.500 0.000 0.000
Au 0.000 0.000 0.500
La 0.500 0.500 0.500
Nb 0.000 0.000 0.000

***

It turns out entry x is the most stable, with the second structure 1.092 eV/atom higher.

***

Entry w
VASP calculation (GGA-PBE) on a relaxed structure of LaNd3Au2.

Its space-group type is No. 12.

abc: 5.322 9.518 9.031
angles: 124.18 90.00 106.23
Positions (direct):
Au 0.223 0.445 0.841
Au 0.496 0.991 0.153
Au 0.504 0.009 0.847
Au 0.777 0.555 0.159
La 0.130 0.261 0.061
La 0.870 0.739 0.939
Nd 0.063 0.125 0.401
Nd 0.694 0.388 0.375
Nd 0.306 0.612 0.625
Nd 0.937 0.875 0.599
Nd 0.377 0.754 0.274
Nd 0.623 0.246 0.726

***

Entry x
VASP calculation (GGA-PBE) on a relaxed structure of LaNd3Au2.

Its space-group type is No. 26.

abc: 5.132 7.383 9.362
angles: 90.00 90.00 90.00
Positions (direct):
Au 0.000 0.257 0.657
Au 0.000 0.757 0.343
Au 0.500 0.244 0.153
Au 0.500 0.744 0.847
Nd 0.000 0.850 0.665
Nd 0.500 0.651 0.162
Nd 0.000 0.350 0.335
Nd 0.500 0.151 0.838
Nd 0.000 0.493 0.927
Nd 0.000 0.993 0.073
La 0.500 0.006 0.425
La 0.500 0.506 0.575

***

It turns out entry x is the most stable, with the second structure 0.092 eV/atom higher.

***

Entry w
VASP calculation (GGA-PBE) on a relaxed structure of La4NdAu.

Its space-group type is No. 123.

abc: 3.798 3.798 13.767
angles: 90.00 90.00 90.00
Positions (direct):
Au 0.500 0.500 0.500
Nd 0.000 0.000 0.000
La 0.500 0.500 0.183
La 0.500 0.500 0.817
La 0.000 0.000 0.367
La 0.000 0.000 0.633

***

Entry x
VASP calculation (GGA-PBE) on a relaxed structure of La4NdAu.

Its space-group type is No. 36.

abc: 5.564 6.600 11.337
angles: 90.00 104.21 90.00
Positions (direct):
Au 0.382 0.492 0.765
Au 0.618 0.992 0.235
La 0.342 0.050 0.684
La 0.064 0.706 0.127
La 0.476 0.844 0.953
La 0.524 0.344 0.047
La 0.936 0.206 0.873
La 0.658 0.550 0.316
La 0.753 0.143 0.506
La 0.247 0.643 0.494
Nd 0.866 0.699 0.732
Nd 0.134 0.199 0.268

***

It turns out entry w is the most stable, with the second structure 0.073 eV/atom higher.

***

Entry w
VASP calculation (GGA-PBE) on a relaxed structure of LaNd2Au.

Its space-group type is No. 123.

abc: 3.713 5.575 5.575
angles: 90.00 90.00 90.00
Positions (direct):
Nd 0.000 0.000 0.500
Nd 0.000 0.500 0.000
La 0.500 0.500 0.500
Au 0.500 0.000 0.000

***

Entry x
VASP calculation (GGA-PBE) on a relaxed structure of LaNd2Au.

Its space-group type is No. 123.

abc: 3.758 3.758 8.716
angles: 90.00 90.00 90.00
Positions (direct):
La 0.500 0.500 0.500
Au 0.500 0.500 0.000
Nd 0.000 0.000 0.795
Nd 0.000 0.000 0.205

***

It turns out entry x is the most stable, with the second structure 0.134 eV/atom higher.

***

Entry w
VASP calculation (GGA-PBE) on a relaxed structure of LaNd2Au2.

Its space-group type is No. 166.

abc: 5.148 5.148 6.770
angles: 67.68 67.68 59.96
Positions (direct):
Nd 0.218 0.718 0.346
Nd 0.782 0.282 0.654
Au 0.415 0.915 0.755
Au 0.585 0.085 0.245
La 0.000 0.500 0.000

***

Entry x
VASP calculation (GGA-PBE) on a relaxed structure of LaNd2Au2.

Its space-group type is No. 127.

abc: 3.946 8.476 8.476
angles: 90.00 90.00 90.00
Positions (direct):
La 0.500 0.500 0.000
La 0.500 0.000 0.500
Au 0.500 0.128 0.872
Au 0.500 0.628 0.628
Au 0.500 0.372 0.372
Au 0.500 0.872 0.128
Nd 0.000 0.336 0.664
Nd 0.000 0.664 0.336
Nd 0.000 0.164 0.164
Nd 0.000 0.836 0.836

***

It turns out entry x is the most stable, with the second structure 0.080 eV/atom higher.

***

Entry w
VASP calculation (GGA-PBE) on a relaxed structure of LaNdAu4.

Its space-group type is No. 123.

abc: 3.886 3.886 9.410
angles: 90.04 90.04 90.00
Positions (direct):
La 0.000 0.000 0.000
Au 0.500 0.500 0.170
Au 0.000 0.000 0.663
Au 0.500 0.500 0.830
Au 0.000 0.000 0.337
Nd 0.500 0.500 0.500

***

Entry x
VASP calculation (GGA-PBE) on a relaxed structure of LaNdAu4.

Its space-group type is No. 47.

abc: 3.656 4.857 8.156
angles: 90.00 90.00 90.00
Positions (direct):
Nd 0.999 0.497 0.998
Au 0.499 0.497 0.328
Au 0.499 0.497 0.668
Au 0.499 0.997 0.830
Au 0.499 0.997 0.166
La 0.999 0.997 0.498

***

It turns out entry x is the most stable, with the second structure 0.009 eV/atom higher.

***

Entry w
VASP calculation (GGA-PBE) on a relaxed structure of LaNdNiAu.

Its space-group type is No. 216.

abc: 5.176 5.176 5.176
angles: 60.00 60.00 60.00
Positions (direct):
Ni 0.750 0.750 0.750
La 0.500 0.500 0.500
Nd 0.000 0.000 0.000
Au 0.250 0.250 0.250

***

Entry x
VASP calculation (GGA-PBE) on a relaxed structure of LaNdNiAu.

Its space-group type is No. 38.

abc: 3.964 4.689 5.776
angles: 90.00 110.07 90.00
Positions (direct):
Ni 0.420 0.000 0.839
Au 0.577 0.500 0.154
Nd 0.863 0.500 0.726
La 0.140 0.000 0.280

***

It turns out entry x is the most stable, with the second structure 0.076 eV/atom higher.

***

Entry w
VASP calculation (GGA-PBE) on a relaxed structure of La4NiAu.

Its space-group type is No. 11.

abc: 6.452 7.252 8.627
angles: 90.00 116.45 90.00
Positions (direct):
La 0.280 0.496 0.769
La 0.720 0.996 0.231
La 0.720 0.504 0.231
La 0.696 0.750 0.625
La 0.280 0.004 0.769
La 0.154 0.750 0.090
La 0.304 0.250 0.375
La 0.846 0.250 0.910
Au 0.161 0.750 0.446
Au 0.839 0.250 0.554
Ni 0.341 0.250 0.055
Ni 0.659 0.750 0.945

***

Entry x
VASP calculation (GGA-PBE) on a relaxed structure of La4NiAu.

Its space-group type is No. 216.

abc: 6.268 6.268 6.268
angles: 60.00 60.00 60.00
Positions (direct):
Au 0.000 0.000 0.000
La 0.874 0.375 0.375
La 0.375 0.375 0.874
La 0.375 0.375 0.375
La 0.375 0.874 0.375
Ni 0.750 0.750 0.750

***

It turns out entry w is the most stable, with the second structure 0.895 eV/atom higher.

***

Entry w
VASP calculation (GGA-PBE) on a relaxed structure of La2Ni2Au.

Its space-group type is No. 139.

abc: 3.697 3.697 8.646
angles: 77.66 77.66 90.00
Positions (direct):
La 0.620 0.620 0.761
La 0.380 0.380 0.239
Au 0.000 0.000 0.000
Ni 0.250 0.750 0.500
Ni 0.750 0.250 0.500

***

Entry x
VASP calculation (GGA-PBE) on a relaxed structure of La2Ni2Au.

Its space-group type is No. 139.

abc: 5.442 5.442 5.432
angles: 59.94 59.94 90.00
Positions (direct):
Au 0.000 0.000 0.000
La 0.250 0.750 0.500
La 0.750 0.250 0.500
Ni 0.653 0.653 0.693
Ni 0.347 0.347 0.307

***

It turns out entry x is the most stable, with the second structure 0.077 eV/atom higher.

***

Entry w
VASP calculation (GGA-PBE) on a relaxed structure of La2Ni2Au.

Its space-group type is No. 127.

abc: 7.482 7.482 3.850
angles: 90.00 90.00 90.00
Positions (direct):
La 0.681 0.819 0.500
La 0.819 0.319 0.500
La 0.319 0.181 0.500
La 0.181 0.681 0.500
Ni 0.383 0.883 0.000
Ni 0.883 0.617 0.000
Ni 0.617 0.117 0.000
Ni 0.117 0.383 0.000
Au 0.500 0.500 0.000
Au 0.000 0.000 0.000

***

Entry x
VASP calculation (GGA-PBE) on a relaxed structure of La2Ni2Au.

Its space-group type is No. 65.

abc: 3.854 4.009 7.335
angles: 105.86 90.00 90.00
Positions (direct):
Ni 0.000 0.198 0.395
Ni 0.000 0.802 0.605
La 0.500 0.369 0.738
La 0.500 0.631 0.262
Au 0.000 0.000 0.000

***

It turns out entry x is the most stable, with the second structure 0.039 eV/atom higher.

***

Entry w
VASP calculation (GGA-PBE) on a relaxed structure of LaNi3Au.

Its space-group type is No. 221.

abc: 4.707 4.707 4.707
angles: 90.00 90.00 90.00
Positions (direct):
Ni 0.000 0.000 0.500
Ni 0.500 0.000 0.000
Ni 0.000 0.500 0.000
Au 0.000 0.000 0.000
La 0.500 0.500 0.500

***

Entry x
VASP calculation (GGA-PBE) on a relaxed structure of LaNi3Au.

Its space-group type is No. 221.

abc: 4.654 4.654 4.654
angles: 90.00 90.00 90.00
Positions (direct):
Au 0.500 0.500 0.500
La 0.000 0.000 0.000
Ni 0.000 0.000 0.500
Ni 0.000 0.500 0.000
Ni 0.500 0.000 0.000

***

It turns out entry w is the most stable, with the second structure 0.774 eV/atom higher.

***

Entry w
VASP calculation (GGA-PBE) on a relaxed structure of La3NiAu.

Its space-group type is No. 221.

abc: 5.379 5.379 5.379
angles: 90.00 90.00 90.00
Positions (direct):
La 0.000 0.000 0.500
La 0.500 0.000 0.000
La 0.000 0.500 0.000
Ni 0.000 0.000 0.000
Au 0.500 0.500 0.500

***

Entry x
VASP calculation (GGA-PBE) on a relaxed structure of La3NiAu.

Its space-group type is No. 12.

abc: 8.388 8.388 8.545
angles: 86.70 86.70 27.82
Positions (direct):
Ni 0.288 0.288 0.572
Ni 0.712 0.712 0.428
La 0.104 0.104 0.540
La 0.452 0.452 0.804
La 0.896 0.896 0.460
La 0.741 0.741 0.798
La 0.259 0.259 0.202
La 0.548 0.548 0.196
Au 0.901 0.901 0.073
Au 0.099 0.099 0.927

***

It turns out entry x is the most stable, with the second structure 0.311 eV/atom higher.

***

Entry w
VASP calculation (GGA-PBE) on a relaxed structure of La8NiAu2.

Its space-group type is No. 8.

abc: 6.512 7.964 7.964
angles: 107.80 103.14 103.14
Positions (direct):
Au 0.488 0.698 0.317
Au 0.488 0.317 0.698
La 0.175 0.374 0.374
La 0.968 0.846 0.159
La 0.322 0.639 0.910
La 0.617 0.359 0.098
La 0.968 0.159 0.846
La 0.791 0.634 0.634
La 0.617 0.098 0.359
La 0.322 0.910 0.639
Ni 0.246 0.000 0.000

***

Entry x
VASP calculation (GGA-PBE) on a relaxed structure of La8NiAu2.

Its space-group type is No. 12.

abc: 5.260 7.010 9.915
angles: 108.80 105.38 90.00
Positions (direct):
La 0.334 0.994 0.667
La 0.588 0.456 0.176
La 0.203 0.334 0.406
La 0.412 0.544 0.824
La 0.020 0.799 0.040
La 0.797 0.666 0.594
La 0.980 0.201 0.960
La 0.666 0.006 0.333
Au 0.170 0.736 0.340
Au 0.830 0.264 0.660
Ni 0.500 0.000 0.000

***

It turns out entry x is the most stable, with the second structure 0.092 eV/atom higher.